The following is a GGA-PBE calculation of a geometry-optimized Ta2SiSe structure, from Alexandria via LeMat-Bulk.

Structure (POSCAR):
```
Ta2SiSe
1.0
2.9535 0.0158 0.0000
-0.8484 2.8291 0.0000
0.0000 0.0000 9.1794
Ta Se Si
2 1 1
Direct
0.5000 0.5000 0.2471
0.0000 0.0000 0.0034
0.0000 0.0000 0.4563
0.5000 0.5000 0.7932
```

Computed properties:
The calculation puts the uncorrected formation energy at -2 kJ/mol of formula units. The calculated volume is 19.2 A^3/atom. The calculation puts the density of states at the Fermi level at 0.631 states/eV/atom.